The following is a GGA-PBE calculation of a relaxed structure of TlInAg, from Alexandria via LeMat-Bulk.

Properties
The total energy is -2.588 eV per atom. The formation energy is 0.064 eV per atom. For the density of states at the Fermi level, the calculation gives 1.44 states/eV/f.u.

```
data_TlInAg
_chemical_formula_sum 'Tl1 In1 Ag1'
_space_group_name_H-M_alt 'P 1'
_space_group_IT_number 1
_cell_length_a 4.843
_cell_length_b 4.843
_cell_length_c 4.843
_cell_angle_alpha 60.00
_cell_angle_beta 60.00
_cell_angle_gamma 60.00
loop_
_space_group_symop_operation_xyz
'x,y,z'
loop_
_atom_site_label
_atom_site_type_symbol
_atom_site_fract_x
_atom_site_fract_y
_atom_site_fract_z
Tl1 Tl 0.000 0.000 0.000
In1 In 0.500 0.500 0.500
Ag1 Ag 0.250 0.250 0.250
```